P.
# WOF2

Crystalline WOF2 at its relaxed geometry (GGA+U, the Alexandria database).

The space group is R-3m (No. 166, hexagonal axes) and the conventional cell measures 2.9743, 2.9743 and 27.3149 Å, with angles of 90.00, 90.00 and 120.00 degrees. The asymmetric unit holds W at (0.0000, 0.0000, 0.0000), O at (0.0000, 0.0000, 0.5000) and F at (0.0000, 0.0000, 0.0683).

The crystal system is trigonal. Its magnetic moment is 6.044 μB/cell.

=====

Q.
# WOF2

Crystalline WOF2 at its relaxed geometry (GGA+U, the Alexandria database).

The space group is Fm-3m (No. 225) and the conventional cell measures 5.391, 5.391 and 5.391 Å, with angles of 90.00, 90.00 and 90.00 degrees. The asymmetric unit holds W at (0.000, 0.000, 0.000), O at (0.000, 0.000, 0.500) and F at (0.250, 0.250, 0.250).

The crystal system is cubic. Its magnetic moment is 8.000 μB/cell.

=====

Stability check: which of them is least stable? P.

=====

P.
# WOF3

Crystalline WOF3 at its relaxed geometry (GGA+U, the Alexandria database).

The space group is Pm-3m (No. 221) and the conventional cell measures 3.943, 3.943 and 3.943 Å, with angles of 90.00, 90.00 and 90.00 degrees. The asymmetric unit holds W at (0.000, 0.000, 0.000), O at (0.500, 0.500, 0.500) and F at (0.000, 0.500, 0.500).

The crystal system is cubic. Its magnetic moment is 0.659 μB/cell.

=====

Q.
# WOF3

Crystalline WOF3 at its relaxed geometry (GGA+U, the Alexandria database).

The space group is Pm-3m (No. 221) and the conventional cell measures 4.138, 4.138 and 4.138 Å, with angles of 90.00, 90.00 and 90.00 degrees. The asymmetric unit holds W at (0.000, 0.000, 0.000), O at (0.500, 0.500, 0.500) and F at (0.000, 0.000, 0.500).

The crystal system is cubic. Its magnetic moment is 2.577 μB/cell.

=====

R.
# WOF3

Crystalline WOF3 at its relaxed geometry (GGA+U, the Alexandria database).

The space group is P2_12_12_1 (No. 19) and the conventional cell measures 5.447, 5.599 and 9.528 Å, with angles of 90.00, 90.00 and 90.00 degrees. The asymmetric unit holds W at (0.138, 0.129, 0.139), O at (0.030, 0.395, 0.237), F at (0.055, 0.917, 0.732), F at (0.179, 0.662, 0.491) and F at (0.210, 0.876, 0.013).

The crystal system is orthorhombic. Its magnetic moment is 4.000 μB/cell.

=====

S.
# WOF3

Crystalline WOF3 at its relaxed geometry (GGA+U, the Alexandria database).

The space group is P4_2/mnm (No. 136) and the conventional cell measures 9.087, 9.087 and 3.862 Å, with angles of 90.00, 90.00 and 90.00 degrees. The asymmetric unit holds W at (0.135, 0.135, 0.000), O at (0.129, 0.129, 0.500), F at (0.096, 0.904, 0.000) and F at (0.112, 0.341, 0.000).

The crystal system is tetragonal. Its magnetic moment is 4.000 μB/cell.

=====

Stability check: which of them is least stable? P.

=====

P.
# ZrWOF2

Crystalline ZrWOF2 at its relaxed geometry (GGA+U, the Alexandria database).

The space group is P4/mmm (No. 123) and the conventional cell measures 4.419, 4.419 and 4.104 Å, with angles of 90.00, 90.00 and 90.00 degrees. The asymmetric unit holds Zr at (0.000, 0.000, 0.000), W at (0.500, 0.500, 0.500), O at (0.000, 0.000, 0.500) and F at (0.000, 0.500, 0.000).

The crystal system is tetragonal. Its magnetic moment is 5.666 μB/cell.

=====

Q.
# ZrWOF2

Crystalline ZrWOF2 at its relaxed geometry (GGA+U, the Alexandria database).

The space group is P4/mmm (No. 123) and the conventional cell measures 4.317, 4.317 and 4.247 Å, with angles of 90.00, 90.00 and 90.00 degrees. The asymmetric unit holds Zr at (0.000, 0.000, 0.000), W at (0.500, 0.500, 0.500), O at (0.500, 0.500, 0.000) and F at (0.000, 0.500, 0.500).

The crystal system is tetragonal. Its magnetic moment is 5.724 μB/cell.

=====

Stability check: which of them is least stable? Q.